## Pm2NdSmEr4 (PBE)

Data for a relaxed Pm2NdSmEr4 crystal.

Structure (POSCAR):
```
Pm2NdSmEr4
1.0
-9.3309 -0.1496 1.8801
-2.1477 -0.3467 -9.2677
8.7511 -5.5307 5.7366
Pm Nd Er Sm
4 2 8 2
Direct
0.5000 0.5000 0.0000
0.0000 0.0000 0.5000
0.5000 0.0000 0.5000
0.5000 0.0000 0.0000
0.0000 0.5000 0.0000
0.0000 0.5000 0.5000
0.2507 0.7499 0.5005
0.7493 0.2501 0.4995
0.7501 0.7504 0.9998
0.7496 0.7499 0.5002
0.2504 0.2501 0.4998
0.2499 0.7507 0.0005
0.7501 0.2493 0.9995
0.2499 0.2496 0.0002
0.0000 0.0000 0.0000
0.5000 0.5000 0.5000
```

Fermi-level density of states = 35.873 states/eV per cell
Energy of formation from the pure elements = 416 meV/atom